(1)
# GGA-PBE Ho2LuBi3, optimized geometry
# spin magnetization = 0.0 μB per formula unit
# calculated total energy = -5.121 eV per atom
data_Ho2LuBi3
_chemical_formula_sum 'Ho2 Lu1 Bi3'
_symmetry_space_group_name_H-M 'P -3 m 1'
_symmetry_Int_Tables_number 164
_symmetry_space_group_name_Hall '-P 3 2"'
_cell_length_a 4.4378
_cell_length_b 4.4378
_cell_length_c 10.8824
_cell_angle_alpha 90.00
_cell_angle_beta 90.00
_cell_angle_gamma 120.00
loop_
_atom_site_label
_atom_site_type_symbol
_atom_site_fract_x
_atom_site_fract_y
_atom_site_fract_z
Ho1 Ho 0.3333 0.6667 0.3327
Lu1 Lu 0.0000 0.0000 0.0000
Bi1 Bi 0.0000 0.0000 0.5000
Bi2 Bi 0.3333 0.6667 0.8358

---

(2)
# GGA-PBE HoLuBi, optimized geometry
# spin magnetization = 0.1 μB per formula unit
# calculated total energy = -4.558 eV per atom
# polymorph energy (0 for the lowest one) = 0.000 eV per atom
data_HoLuBi
_chemical_formula_sum 'Ho4 Lu4 Bi4'
_symmetry_space_group_name_H-M 'F -4 3 m'
_symmetry_Int_Tables_number 216
_symmetry_space_group_name_Hall 'F -4 2 3'
_cell_length_a 7.219
_cell_length_b 7.219
_cell_length_c 7.219
_cell_angle_alpha 90.00
_cell_angle_beta 90.00
_cell_angle_gamma 90.00
loop_
_atom_site_label
_atom_site_type_symbol
_atom_site_fract_x
_atom_site_fract_y
_atom_site_fract_z
Ho1 Ho 0.000 0.000 0.000
Lu1 Lu 0.000 0.000 0.500
Bi1 Bi 0.250 0.250 0.250

---

> Which of these has the highest spin magnetization?

HoLuBi

---

Please write out number 1 again, unchanged.
# GGA-PBE Ho2LuBi3, optimized geometry
# spin magnetization = 0.0 μB per formula unit
# calculated total energy = -5.121 eV per atom
data_Ho2LuBi3
_chemical_formula_sum 'Ho2 Lu1 Bi3'
_symmetry_space_group_name_H-M 'P -3 m 1'
_symmetry_Int_Tables_number 164
_symmetry_space_group_name_Hall '-P 3 2"'
_cell_length_a 4.4378
_cell_length_b 4.4378
_cell_length_c 10.8824
_cell_angle_alpha 90.00
_cell_angle_beta 90.00
_cell_angle_gamma 120.00
loop_
_atom_site_label
_atom_site_type_symbol
_atom_site_fract_x
_atom_site_fract_y
_atom_site_fract_z
Ho1 Ho 0.3333 0.6667 0.3327
Lu1 Lu 0.0000 0.0000 0.0000
Bi1 Bi 0.0000 0.0000 0.5000
Bi2 Bi 0.3333 0.6667 0.8358